A plane-wave DFT calculation with PBE was carried out for an optimized crystal structure of Cs2BrCl. Values from VASP.

## Properties
Its mass density is 2.48 Mg/m³. The offset from the most stable computed form comes out at 8.1 kJ per mole of atoms. As for the raw formation energy: -1.7902 eV per atom. As for the total magnetization: 0.5 μB/cell.

Structure (Quantum ESPRESSO input):
```
&SYSTEM
  ibrav = 0, nat = 8, ntyp = 3
/
ATOMIC_SPECIES
Cs 132.91 Cs.upf
Br 79.90 Br.upf
Cl 35.45 Cl.upf
CELL_PARAMETERS angstrom
-4.684 -3.155 -5.783
-4.100 -4.158 5.590
-9.381 2.316 0.686
ATOMIC_POSITIONS angstrom
Cs -5.685 -1.844 -2.620
Cs -5.595 -2.482 2.817
Cs -10.419 -1.095 0.562
Cs -14.635 -4.572 0.224
Br 0.000 0.000 0.000
Br -9.229 -2.248 -2.597
Cl -4.392 -3.656 -0.097
Cl -8.937 -2.749 3.089
```